1.
Entry from Alexandria via LeMat-Bulk: a relaxed La6TlIn3 crystal (PBE). Values from VASP.

Structure (Quantum ESPRESSO input):
```
&SYSTEM
  ibrav = 0, nat = 20, ntyp = 3
/
ATOMIC_SPECIES
La 138.91 La.upf
Tl 204.38 Tl.upf
In 114.82 In.upf
CELL_PARAMETERS angstrom
8.8973 0.0000 -0.3727
0.0000 8.3535 0.0000
-0.2727 0.0000 9.1084
ATOMIC_POSITIONS angstrom
La 5.8120 1.4951 8.0950
La 5.6285 1.1399 4.8520
La 6.7475 3.2736 2.1699
La 1.8772 5.0800 6.5659
La 2.9962 7.2137 3.8837
La 2.8127 6.8585 0.6407
La 1.4996 2.6817 3.7271
La 1.3161 3.0369 0.4841
La 2.1625 0.9033 6.9105
La 6.4622 7.4503 1.8252
La 7.3086 5.3166 8.2516
La 7.1251 5.6719 5.0086
Tl 4.3124 4.1768 4.3679
Tl 0.0000 0.0000 0.0000
In 4.6310 6.9516 6.9961
In 4.4487 4.1768 -0.1863
In 3.9937 1.4020 1.7396
In 0.3188 5.5788 2.6280
In -0.1363 0.0000 4.5542
In 8.3060 2.7748 6.1077
```

Properties
* symmetry: P2_1/c


2.
Entry from Alexandria via LeMat-Bulk: a relaxed La8TlIn2 crystal (PBE). Values from VASP.

Structure (Quantum ESPRESSO input):
```
&SYSTEM
  ibrav = 0, nat = 11, ntyp = 3
/
ATOMIC_SPECIES
La 138.91 La.upf
Tl 204.38 Tl.upf
In 114.82 In.upf
CELL_PARAMETERS angstrom
6.0076 -0.4452 -0.6682
-1.6029 8.7707 -0.6896
-1.6029 -4.0144 7.8285
ATOMIC_POSITIONS angstrom
La 3.0084 4.8032 4.1944
La 3.0084 2.0209 6.0481
La -0.0983 2.7124 4.0711
La 1.4009 5.6941 0.8777
La 1.4009 -1.3830 5.5929
La 2.9000 1.5987 2.3995
La -0.2067 2.2902 0.4226
La -0.2067 -0.4921 2.2763
Tl 3.0038 -0.2226 -0.3341
In -1.6029 -0.1235 5.2361
In -1.6029 4.8797 1.9027
```

Properties
* symmetry: C2/m


ΔH_f (0 K) for the records above, in order: -24.0, -19.9 kJ per mole of atoms
Energy relative to the lowest polymorph listed for this composition for the records above, in order: 0.149, 0.033 eV per atom